KCd2Sb2, relaxed, DFT PBE; formation energy from raw total energies = -0.26 eV per atom; symmetry = P4/nmm, No. 129; E_tot = -12.49 eV/f.u.; energy above the lowest structure with this stoichiometry = 0.0 kJ/mol of formula units; crystal system = tetragonal
1.0
-3.1858 0.0896 -4.0430
3.9341 -1.1228 -3.1249
-2.1410 -11.4884 1.4324
Sb Cd K
4 4 2
direct
0.0000 0.5000 0.1289 Sb
0.0000 0.0000 0.5000 Sb
0.5000 0.0000 0.8711 Sb
0.5000 0.5000 0.5000 Sb
0.0000 0.5000 0.3704 Cd
0.5000 0.0000 0.6296 Cd
0.5000 0.5000 0.0000 Cd
0.0000 0.0000 0.0000 Cd
0.5000 0.0000 0.2543 K
0.0000 0.5000 0.7457 K



KCdSb2, relaxed, DFT PBE; formation energy from raw total energies = -0.03 eV per atom; symmetry = C2/m, No. 12; E_tot = -10.36 eV/f.u.; crystal system = monoclinic
1.0
6.1428 0.0778 -0.0243
-2.4221 5.6456 -0.0243
0.1788 0.2751 3.2901
K Sb Cd
1 2 1
direct
0.0000 0.5000 0.5000 K
0.0000 0.0000 0.0000 Sb
0.5000 0.5000 0.0000 Sb
0.5000 0.0000 0.5000 Cd



KCdSb2, relaxed, DFT PBE; formation energy from raw total energies = -0.23 eV per atom; symmetry = P4/nmm, No. 129; E_tot = -11.18 eV/f.u.; crystal system = tetragonal
1.0
-0.1164 -1.7135 4.0665
-3.9451 -1.7820 -0.8638
6.2577 -11.5761 -4.6988
Sb K Cd
4 2 2
direct
0.5000 0.0000 0.1390 Sb
0.5000 0.5000 0.5000 Sb
0.0000 0.0000 0.5000 Sb
0.0000 0.5000 0.8610 Sb
0.5000 0.0000 0.7270 K
0.0000 0.5000 0.2730 K
0.0000 0.0000 0.0000 Cd
0.5000 0.5000 0.0000 Cd



> What is the formation energy from raw total energies in the first record?

-0.26 eV per atom



> What is the formula in the third record?

KCdSb2



> Among the records above, which one has the lowest formation energy from raw total energies?

KCd2Sb2